HfSOF2 | Alexandria via LeMat-Bulk | PBE | optimized geometry; M_tot = 0.02 Bohr magnetons per cell; formation energy from raw total energies = -6.4 kcal/mol of atoms; polymorph energy (0 for the lowest one) = 1902.6 meV/atom
1.0
4.851 0.000 0.000
0.000 4.851 0.000
0.000 0.000 3.317
Hf S O F
1 1 1 2
Direct
0.000 0.000 0.000
0.500 0.500 0.500
0.500 0.500 0.000
0.000 0.500 0.500
0.500 0.000 0.500